1.
CoAs6Os | Alexandria | PBE | relaxed; crystal system = monoclinic; space group = C2/m, No. 12; calculated density = 7.7 g cm⁻³; ΔH_f (0 K) = -1.418 eV/f.u.; calculated volume = 18.9 Å³ per atom
1.0
6.929 -0.050 -2.435
-3.452 6.010 -2.428
-0.018 -0.016 7.294
As Co Os
12 2 2
Cartesian
0.637 2.945 -0.981
-0.212 2.094 2.414
2.821 2.999 3.413
0.527 5.118 1.512
3.670 3.850 0.017
-1.235 3.953 3.963
2.931 0.826 0.919
-1.560 5.056 -0.056
5.018 0.888 2.487
4.693 1.991 -1.531
1.739 1.144 4.926
1.719 4.800 -2.495
3.464 -0.025 -1.217
-1.726 3.005 -1.214
-0.009 -0.008 3.647
1.729 2.972 1.216



2.
CoAs3Os | Alexandria | PBE | relaxed; crystal system = cubic; space group = Pm-3m, No. 221; calculated density = 9.0 g cm⁻³; ΔH_f (0 K) = 4.789 eV/f.u.; calculated volume = 17.5 Å³ per atom; relative energy among the computed polymorphs = 0 meV/atom
1.0
4.443 0.000 0.000
0.000 4.443 0.000
0.000 0.000 4.443
As Co Os
3 1 1
Cartesian
2.222 0.000 0.000
0.000 2.222 0.000
0.000 0.000 2.222
0.000 0.000 0.000
2.222 2.222 2.222



3.
CoAsOs4 | Alexandria | PBE | relaxed; crystal system = cubic; space group = F-43m, No. 216; calculated density = 15.3 g cm⁻³; ΔH_f (0 K) = 6.209 eV/f.u.; calculated volume = 16.2 Å³ per atom
1.0
0.000 3.648 3.648
3.648 0.000 3.648
3.648 3.648 0.000
Os Co As
4 1 1
Cartesian
2.734 4.562 4.562
4.562 4.562 2.734
2.734 2.734 2.734
4.562 2.734 4.562
0.000 0.000 0.000
5.473 5.473 5.473



4.
CoAs2POs | Alexandria | PBE | relaxed; crystal system = tetragonal; space group = P4/mmm, No. 123; calculated density = 8.0 g cm⁻³; ΔH_f (0 K) = 5.735 eV/f.u.; calculated volume = 17.8 Å³ per atom
1.0
-0.994 0.476 4.117
3.991 -2.572 1.261
2.277 3.600 0.133
Co P As Os
1 1 2 1
Cartesian
0.000 0.000 0.000
2.637 0.752 2.756
-0.497 0.238 2.059
1.139 1.800 0.067
1.996 -1.286 0.631



5.
CoAsP2Os | Alexandria | PBE | relaxed; crystal system = tetragonal; space group = P4/mmm, No. 123; calculated density = 6.5 g cm⁻³; ΔH_f (0 K) = 8.854 eV/f.u.; calculated volume = 19.8 Å³ per atom
1.0
-3.733 2.765 -0.005
-2.585 -3.488 1.449
0.872 1.184 4.407
P Os As Co
2 1 1 1
Cartesian
0.436 0.592 2.203
-1.866 1.382 -0.002
-1.293 -1.744 0.724
0.000 0.000 0.000
-2.723 0.231 2.925



6.
Co2AsOsPt | Alexandria | PBE | relaxed; crystal system = tetragonal; space group = P4/mmm, No. 123; calculated density = 11.7 g cm⁻³; ΔH_f (0 K) = 5.190 eV/f.u.; calculated volume = 16.4 Å³ per atom
1.0
4.256 0.000 0.000
0.000 4.534 0.000
0.000 0.000 4.256
Co Pt As Os
2 1 1 1
Cartesian
2.128 0.000 0.000
0.000 0.000 2.128
2.128 2.267 2.128
0.000 0.000 0.000
0.000 2.267 0.000



7.
RbCoAsOs2 | Alexandria | PBE | relaxed; crystal system = tetragonal; space group = P4/mmm, No. 123; calculated density = 9.3 g cm⁻³; ΔH_f (0 K) = 9.396 eV/f.u.; calculated volume = 21.5 Å³ per atom
1.0
4.499 0.000 0.000
0.000 5.309 0.000
0.000 0.000 4.499
Rb Os As Co
1 2 1 1
Cartesian
0.000 2.655 0.000
0.000 0.000 2.249
2.249 0.000 0.000
2.249 2.655 2.249
0.000 0.000 0.000



8.
CoAsOs2Rh | Alexandria | PBE | relaxed; crystal system = tetragonal; space group = P4/mmm, No. 123; calculated density = 11.7 g cm⁻³; ΔH_f (0 K) = 8.089 eV/f.u.; calculated volume = 17.5 Å³ per atom
1.0
4.365 0.000 0.000
0.000 4.582 0.000
0.000 0.000 4.365
Os Rh Co As
2 1 1 1
Cartesian
0.000 0.000 2.182
2.182 0.000 0.000
0.000 2.291 0.000
0.000 0.000 0.000
2.182 2.291 2.182



9.
CoAs2OsSe | Alexandria | PBE | relaxed; crystal system = tetragonal; formation energy from raw total energies = 1016 meV/atom; space group = P4/mmm, No. 123; calculated density = 8.9 g cm⁻³; calculated volume = 17.8 Å³ per atom; relative energy among the computed polymorphs = 0 meV/atom
1.0
-1.681 -4.077 0.170
3.326 -1.263 2.611
-2.453 1.165 3.689
As Os Se Co
2 1 1 1
Cartesian
-0.841 -2.038 0.085
1.663 -0.632 1.305
-0.404 -2.087 3.235
-1.227 0.583 1.845
0.000 0.000 0.000



10.
CoSn2AsOs | Alexandria | PBE | relaxed; crystal system = tetragonal; space group = P4/mmm, No. 123; calculated density = 7.4 g cm⁻³; ΔH_f (0 K) = 4.570 eV/f.u.; calculated volume = 25.3 Å³ per atom
1.0
5.226 0.000 0.000
0.000 4.631 0.000
0.000 0.000 5.226
Sn As Os Co
2 1 1 1
Cartesian
0.000 0.000 2.613
2.613 0.000 0.000
0.000 2.315 0.000
0.000 0.000 0.000
2.613 2.315 2.613



11.
Th2Co3As4Os | Alexandria | PBE | relaxed; crystal system = tetragonal; space group = P-4m2, No. 115; calculated density = 11.1 g cm⁻³; ΔH_f (0 K) = -7.223 eV/f.u.; calculated volume = 16.9 Å³ per atom
1.0
4.195 0.000 0.000
0.000 4.195 0.000
0.000 0.000 9.579
Th Co As Os
2 3 4 1
Cartesian
2.097 0.000 2.363
0.000 2.097 7.215
0.000 2.097 1.081
2.097 0.000 8.498
0.000 0.000 4.789
2.097 0.000 6.143
0.000 0.000 0.000
0.000 2.097 3.435
2.097 2.097 0.000
2.097 2.097 4.789



12.
Ti2CoAsOs | Alexandria | PBE | relaxed; crystal system = tetragonal; space group = P4/mmm, No. 123; calculated density = 8.5 g cm⁻³; ΔH_f (0 K) = 2.166 eV/f.u.; calculated volume = 16.4 Å³ per atom; relative energy among the computed polymorphs = 0 meV/atom
1.0
-4.186 -0.317 1.423
-0.220 -3.892 -1.515
1.439 -1.591 3.879
Ti As Os Co
2 1 1 1
Cartesian
-2.093 -0.158 0.711
0.719 -0.795 1.939
-0.110 -1.946 -0.757
-1.484 -2.900 1.893
0.000 0.000 0.000



| no. | N(E_F) (states/eV per atom) |
| --- | --- |
| 1 | 0.74 |
| 2 | 0.79 |
| 3 | 1.44 |
| 4 | 0.85 |
| 5 | 1.20 |
| 6 | 1.18 |
| 7 | 1.26 |
| 8 | 1.41 |
| 9 | 0.98 |
| 10 | 1.04 |
| 11 | 0.45 |
| 12 | 1.05 |